# 1
Material: YTa2Zn
Method: DFT, PBE-GGA
State: optimized geometry

Geometry as POSCAR:
```
YTa2Zn
1.0
-0.6610 0.5735 3.9293
3.7671 -1.1691 0.8043
4.7923 9.5278 1.4776
Y Zn Ta
2 2 4
direct
0.0000 0.0000 0.0000
0.7500 0.2500 0.5000
0.5000 0.5000 0.0000
0.2500 0.7500 0.5000
0.1306 0.1250 0.2500
0.6194 0.6250 0.2500
0.3750 0.8694 0.7500
0.8750 0.3806 0.7500
```

Space-group type   I-42d (122)
Calculated formation energy   0.541 eV/atom

***

# 2
Material: InB2SbAs
Method: DFT, PBE-GGA
State: optimized geometry

Geometry as POSCAR:
```
InB2SbAs
1.0
-4.2384 -0.2689 -0.1472
0.4034 -4.3281 -3.7104
0.0631 -2.7621 3.2288
Sb As B In
1 1 2 1
direct
0.0000 0.5000 0.0000
0.0000 0.0000 0.0000
0.0000 0.0000 0.5000
0.5000 0.0000 0.0000
0.5000 0.5000 0.5000
```

E_form (uncorrected)   30.6 kcal/mol of atoms
Space-group type   P4/mmm (123)

***

Q: Number 1 is which compound?
A: YTa2Zn